1.
A crystal of NaBe4SbO7 relaxed with PBEsol, computed with SCAN.

formation energy without anion corrections: -2.577 eV/atom
theoretical density: 4.3 g cm⁻³

abc: 5.4505 5.4505 8.8820
angles: 90.00 90.00 120.00
Positions (direct):
O: 0.0099 0.5049 0.1289
O: 0.0000 0.0000 0.1248
O: 0.8391 0.6782 0.8711
O: 0.1609 0.3218 0.3711
O: 0.9901 0.4951 0.6289
O: 0.4951 0.5049 0.1289
O: 0.6782 0.8391 0.3711
O: 0.8391 0.1609 0.8711
O: 0.0000 0.0000 0.6248
O: 0.5049 0.0099 0.6289
O: 0.4951 0.9901 0.1289
O: 0.5049 0.4951 0.6289
O: 0.1609 0.8391 0.3711
O: 0.3218 0.1609 0.8711
Be: 0.0000 0.0000 0.4393
Be: 0.1655 0.8345 0.1866
Be: 0.6689 0.8345 0.1866
Be: 0.8345 0.6689 0.6866
Be: 0.1655 0.3311 0.1866
Be: 0.8345 0.1655 0.6866
Be: 0.0000 0.0000 0.9393
Be: 0.3311 0.1655 0.6866
Na: 0.3333 0.6667 0.8746
Na: 0.6667 0.3333 0.3746
Sb: 0.3333 0.6667 0.4995
Sb: 0.6667 0.3333 0.9995

2.
A crystal of AlSbBr2 relaxed with PBEsol, computed with SCAN.

formation energy without anion corrections: 0.181 eV/atom
theoretical density: 2.6 g cm⁻³

abc: 8.1928 8.1928 8.1928
angles: 60.00 60.00 60.00
Positions (direct):
Br: 0.6250 0.6250 0.1250
Br: 0.6250 0.1250 0.6250
Br: 0.6250 0.6250 0.6250
Br: 0.1250 0.6250 0.6250
Al: 0.5000 0.5000 0.5000
Al: 0.7500 0.7500 0.7500
Sb: 0.2500 0.2500 0.2500
Sb: 0.0000 0.0000 0.0000

3.
A crystal of CrIrRh relaxed with PBEsol, computed with SCAN.

energy relative to the elements: -116.9 meV per atom
theoretical density: 14.8 g cm⁻³

abc: 2.6493 2.6493 6.4257
angles: 90.00 90.00 120.00
Positions (direct):
Cr: 0.0000 0.0000 0.0000
Ir: 0.3333 0.6667 0.6830
Rh: 0.6667 0.3333 0.3170

4.
A crystal of SrGaF2 relaxed with PBEsol, computed with SCAN.

formation energy without anion corrections: -2.131 eV/atom
theoretical density: 4.7 g cm⁻³

abc: 4.9725 4.9725 4.3203
angles: 54.87 54.87 60.00
Positions (direct):
Ga: 0.5000 0.5000 0.5000
Sr: 0.0000 0.0000 0.0000
F: 0.2572 0.2572 0.2284
F: 0.7428 0.7428 0.7716

5.
A crystal of YAu2Cl relaxed with PBEsol, computed with SCAN.

formation energy without anion corrections: -1.067 eV/atom
theoretical density: 8.9 g cm⁻³

abc: 4.2718 4.2718 6.6204
angles: 71.18 71.18 60.00
Positions (direct):
Au: 0.0005 0.0005 0.9986
Au: 0.7245 0.7245 0.8266
Cl: 0.5154 0.5154 0.4537
Y: 0.2596 0.2596 0.2211

6.
A crystal of ZnAu2I relaxed with PBEsol, computed with SCAN.

formation energy without anion corrections: 0.547 eV/atom
theoretical density: 12.1 g cm⁻³

abc: 4.8460 4.8460 4.8460
angles: 60.00 60.00 60.00
Positions (direct):
Au: 0.7500 0.7500 0.7500
Au: 0.2500 0.2500 0.2500
I: 0.5000 0.5000 0.5000
Zn: 0.0000 0.0000 0.0000

7.
A crystal of LiTiPO5 relaxed with PBEsol, computed with SCAN.

formation energy without anion corrections: -2.883 eV/atom
theoretical density: 3.2 g cm⁻³

abc: 6.3918 7.2481 7.3511
angles: 90.00 90.00 90.00
Positions (direct):
O: 0.5559 0.7458 0.6281
O: 0.2500 0.4862 0.0503
O: 0.9441 0.7542 0.1281
O: 0.4441 0.2458 0.8719
O: 0.2500 0.4984 0.7043
O: 0.2500 0.6571 0.3906
O: 0.7500 0.5016 0.2957
O: 0.0559 0.2458 0.8719
O: 0.0559 0.2542 0.3719
O: 0.4441 0.2542 0.3719
O: 0.2500 0.0138 0.5503
O: 0.2500 0.0016 0.2043
O: 0.7500 0.3429 0.6094
O: 0.7500 0.9862 0.4497
O: 0.7500 0.1571 0.1094
O: 0.9441 0.7458 0.6281
O: 0.5559 0.7542 0.1281
O: 0.7500 0.5138 0.9497
O: 0.7500 0.9984 0.7957
O: 0.2500 0.8429 0.8906
Li: 0.0000 0.5000 0.5000
Li: 0.5000 0.0000 0.0000
Li: 0.5000 0.5000 0.5000
Li: 0.0000 0.0000 0.0000
Ti: 0.2500 0.7215 0.1636
Ti: 0.7500 0.2215 0.3364
Ti: 0.7500 0.2785 0.8364
Ti: 0.2500 0.7785 0.6636
P: 0.7500 0.6287 0.1261
P: 0.7500 0.8713 0.6261
P: 0.2500 0.1287 0.3739
P: 0.2500 0.3713 0.8739

8.
A crystal of TmCuW2O8 relaxed with PBEsol, computed with SCAN.

formation energy without anion corrections: -2.437 eV/atom
theoretical density: 8.5 g cm⁻³

abc: 4.9689 5.8240 9.8093
angles: 90.00 92.72 90.00
Positions (direct):
W: 0.2516 0.8253 0.4868
W: 0.7484 0.1747 0.5132
W: 0.2484 0.8253 0.0132
W: 0.7516 0.1747 0.9868
O: 0.9094 0.3659 0.6387
O: 0.6051 0.3716 0.3871
O: 0.0486 0.0890 0.8863
O: 0.0906 0.6341 0.3613
O: 0.5906 0.3659 0.8613
O: 0.3949 0.6284 0.6129
O: 0.5630 0.8859 0.9039
O: 0.5486 0.9110 0.3863
O: 0.0630 0.1141 0.4039
O: 0.9514 0.9110 0.1137
O: 0.4370 0.1141 0.0961
O: 0.9370 0.8859 0.5961
O: 0.4514 0.0890 0.6137
O: 0.4094 0.6341 0.1387
O: 0.8949 0.3716 0.1129
O: 0.1051 0.6284 0.8871
Cu: 0.7500 0.7044 0.2500
Cu: 0.2500 0.2956 0.7500
Tm: 0.2500 0.3226 0.2500
Tm: 0.7500 0.6774 0.7500